Entry A
VInSn: optimized geometry, PBE-GGA.

Unit cell a=6.6671 b=6.6671 c=7.3991 alpha=90.00 beta=90.00 gamma=128.18
With the nearest neighbours (Å) after each atom.
Element x y z (fractional)
1 V 0.0926 0.9074 0.9314  1 V 2.44
2 V 0.4074 0.5926 0.4314  1 V 2.44
3 V 0.5926 0.4074 0.5686  1 V 2.44
4 V 0.9074 0.0926 0.0686  1 V 2.44
5 In 0.1773 0.3227 0.7500  4 V 2.78-2.80, 2 In 2.91
6 In 0.3227 0.1773 0.2500  4 V 2.78-2.80, 2 In 2.91
7 In 0.6773 0.8227 0.7500  4 V 2.78-2.80, 2 In 2.91
8 In 0.8227 0.6773 0.2500  4 V 2.78-2.80, 2 In 2.91
9 Sn 0.1863 0.8137 0.5854  4 V 2.80-3.13
10 Sn 0.3137 0.6863 0.0854  4 V 2.80-3.13
11 Sn 0.6863 0.3137 0.9146  4 V 2.80-3.13
12 Sn 0.8137 0.1863 0.4146  4 V 2.80-3.13


Entry B
VInSn: optimized geometry, PBE-GGA.

Unit cell a=5.5507 b=5.5507 c=5.5507 alpha=142.86 beta=142.86 gamma=53.54
With the nearest neighbours (Å) after each atom.
Element x y z (fractional)
1 V 0.0000 0.0000 0.0000  4 Sn 2.90, 4 In 2.96
2 In 0.3400 0.3400 0.0000  4 V 2.96, 5 Sn 3.05-3.14
3 Sn 0.6477 0.6477 0.0000  4 V 2.90, 5 In 3.05-3.14


Which structure is the most stable? The one labeled entry A.


Entry A
In3SnW: optimized geometry, PBE-GGA.

Unit cell a=5.5702 b=5.5702 c=5.5702 alpha=90.00 beta=90.00 gamma=90.00
With the nearest neighbours (Å) after each atom.
Element x y z (fractional)
1 In 0.0000 0.0000 0.5000  2 Sn 2.79
2 In 0.0000 0.5000 0.0000  2 Sn 2.79
3 In 0.5000 0.0000 0.0000  2 Sn 2.79
4 Sn 0.0000 0.0000 0.0000  6 In 2.79
5 W 0.5000 0.5000 0.5000  12 In 3.94


Entry B
In3SnW: optimized geometry, PBE-GGA.

Unit cell a=5.3123 b=5.3123 c=5.3123 alpha=90.00 beta=90.00 gamma=90.00
With the nearest neighbours (Å) after each atom.
Element x y z (fractional)
1 In 0.0000 0.0000 0.5000  2 W 2.66
2 In 0.0000 0.5000 0.0000  2 W 2.66
3 In 0.5000 0.0000 0.0000  2 W 2.66
4 Sn 0.5000 0.5000 0.5000  12 In 3.76
5 W 0.0000 0.0000 0.0000  6 In 2.66


Which structure is the most stable? The one labeled entry B.


Entry A
YInSn: optimized geometry, PBE-GGA.

Unit cell a=5.1875 b=5.1875 c=3.3812 alpha=90.00 beta=90.00 gamma=120.00
With the nearest neighbours (Å) after each atom.
Element x y z (fractional)
1 Y 0.0000 0.0000 0.0000  2 Y 3.38, 6 Sn 3.43-3.44, 6 In 3.43-3.44
2 In 0.3333 0.6667 0.4973  3 Sn 3.00
3 Sn 0.6667 0.3333 0.5028  3 In 3.00


Entry B
YInSn: optimized geometry, PBE-GGA.

Unit cell a=8.3932 b=8.3932 c=4.3084 alpha=90.00 beta=90.00 gamma=148.61
With the nearest neighbours (Å) after each atom.
Element x y z (fractional)
1 Y 0.0912 0.9088 0.7500  6 Sn 3.15-3.45, 4 In 3.36-3.42
2 Y 0.9088 0.0912 0.2500  6 Sn 3.15-3.45, 4 In 3.36-3.42
3 In 0.2556 0.7444 0.2500  4 In 3.13, 4 Y 3.36-3.42
4 In 0.7444 0.2556 0.7500  4 In 3.13, 4 Y 3.36-3.42
5 Sn 0.4302 0.5698 0.7500  2 Sn 3.12, 6 Y 3.15-3.45
6 Sn 0.5698 0.4302 0.2500  2 Sn 3.12, 6 Y 3.15-3.45


Entry C
YInSn: optimized geometry, PBE-GGA.

Unit cell a=5.2077 b=5.2077 c=6.3486 alpha=90.00 beta=90.00 gamma=109.61
With the nearest neighbours (Å) after each atom.
Element x y z (fractional)
1 Y 0.1762 0.8238 0.7500  5 In 3.08-3.22, 2 Sn 3.18
2 Y 0.8238 0.1762 0.2500  5 In 3.08-3.22, 2 Sn 3.18
3 In 0.1859 0.8141 0.2500  5 Y 3.08-3.22, 2 Sn 3.11
4 In 0.8141 0.1859 0.7500  5 Y 3.08-3.22, 2 Sn 3.11
5 Sn 0.5000 0.5000 0.0000  2 In 3.11, 2 Sn 3.17, 2 Y 3.18
6 Sn 0.5000 0.5000 0.5000  2 In 3.11, 2 Sn 3.17, 2 Y 3.18


Which structure is the most stable? The one labeled entry B.


Entry A
YInSn: optimized geometry, PBE-GGA.

Unit cell a=8.5000 b=8.5000 c=8.5000 alpha=157.23 beta=157.23 gamma=32.42
With the nearest neighbours (Å) after each atom.
Element x y z (fractional)
1 Y 0.0000 0.0000 0.0000  1 In 3.08, 4 Sn 3.21, 4 Y 3.36
2 In 0.1889 0.1889 0.0000  1 Sn 2.92, 1 Y 3.08
3 Sn 0.3675 0.3675 0.0000  1 In 2.92, 4 Y 3.21


Entry B
YInSn: optimized geometry, PBE-GGA.

Unit cell a=10.7173 b=8.6792 c=7.7736 alpha=81.09 beta=53.14 gamma=45.77
With the nearest neighbours (Å) after each atom.
Element x y z (fractional)
1 Y 0.0790 0.6710 0.0790  4 In 3.12-3.22, 4 Sn 3.25-3.34, 2 Y 3.48
2 Y 0.3290 0.9210 0.3290  4 In 3.12-3.22, 4 Sn 3.25-3.34, 2 Y 3.48
3 Y 0.6710 0.0790 0.6710  4 In 3.12-3.22, 4 Sn 3.25-3.34, 2 Y 3.48
4 Y 0.9210 0.3290 0.9210  4 In 3.12-3.22, 4 Sn 3.25-3.34, 2 Y 3.48
5 In 0.0360 0.0360 0.2140  1 In 2.87, 2 Sn 3.06, 2 Y 3.12
6 In 0.2140 0.2140 0.0360  1 In 2.87, 2 Sn 3.06, 2 Y 3.12
7 In 0.7860 0.7860 0.9640  1 In 2.87, 2 Sn 3.06, 2 Y 3.12
8 In 0.9640 0.9640 0.7860  1 In 2.87, 2 Sn 3.06, 2 Y 3.12
9 Sn 0.0000 0.5000 0.5000  2 In 3.06, 4 Y 3.25-3.34
10 Sn 0.5000 0.0000 0.5000  2 In 3.06, 4 Y 3.25-3.34
11 Sn 0.5000 0.5000 0.0000  2 In 3.06, 4 Y 3.25-3.34
12 Sn 0.5000 0.5000 0.5000  2 In 3.06, 4 Y 3.25-3.34


Which structure is the most stable? The one labeled entry B.


Entry A
YIn3Sn: optimized geometry, PBE-GGA.

Unit cell a=5.7848 b=5.7848 c=5.7848 alpha=90.00 beta=90.00 gamma=90.00
With the nearest neighbours (Å) after each atom.
Element x y z (fractional)
1 Y 0.0000 0.0000 0.0000  6 In 2.89
2 In 0.0000 0.0000 0.5000  2 Y 2.89
3 In 0.0000 0.5000 0.0000  2 Y 2.89
4 In 0.5000 0.0000 0.0000  2 Y 2.89
5 Sn 0.5000 0.5000 0.5000  12 In 4.09


Entry B
YIn3Sn: optimized geometry, PBE-GGA.

Unit cell a=5.5728 b=5.5728 c=5.5728 alpha=90.00 beta=90.00 gamma=90.00
With the nearest neighbours (Å) after each atom.
Element x y z (fractional)
1 Y 0.0000 0.0000 0.0000  12 In 3.94
2 In 0.0000 0.5000 0.5000  2 Sn 2.79
3 In 0.5000 0.0000 0.5000  2 Sn 2.79
4 In 0.5000 0.5000 0.0000  2 Sn 2.79
5 Sn 0.5000 0.5000 0.5000  6 In 2.79


Which structure is the most stable? The one labeled entry B.


Entry A
Zn2InSn: optimized geometry, PBE-GGA.

Unit cell a=4.9853 b=4.9853 c=4.9853 alpha=60.00 beta=60.00 gamma=60.00
With the nearest neighbours (Å) after each atom.
Element x y z (fractional)
1 Zn 0.2500 0.2500 0.2500  4 In 3.05, 4 Sn 3.05
2 Zn 0.7500 0.7500 0.7500  4 In 3.05, 4 Sn 3.05
3 In 0.0000 0.0000 0.0000  8 Zn 3.05
4 Sn 0.5000 0.5000 0.5000  8 Zn 3.05


Entry B
Zn2InSn: optimized geometry, PBE-GGA.

Unit cell a=9.4474 b=9.4474 c=9.4474 alpha=151.88 beta=151.88 gamma=40.19
With the nearest neighbours (Å) after each atom.
Element x y z (fractional)
1 Zn 0.1057 0.6250 0.9807  2 In 2.71, 2 Sn 2.79
2 Zn 0.3750 0.3557 0.4807  2 In 2.71, 2 Sn 2.79
3 Zn 0.6443 0.1250 0.0193  2 In 2.71, 2 Sn 2.79
4 Zn 0.8750 0.8943 0.5193  2 In 2.71, 2 Sn 2.79
5 In 0.0000 0.0000 0.0000  4 Zn 2.71
6 In 0.7500 0.2500 0.5000  4 Zn 2.71
7 Sn 0.2500 0.7500 0.5000  4 Zn 2.79
8 Sn 0.5000 0.5000 0.0000  4 Zn 2.79


Which structure is the most stable? The one labeled entry A.